Below is a relaxed MnCo2As crystal, with properties calculated at the GGA-PBE level.

The structure in CIF format:
```
data_MnCo2As
_symmetry_space_group_name_H-M 'P 1'
_symmetry_Int_Tables_number 1
_symmetry_space_group_name_Hall 'P 1'
_cell_length_a 4.007
_cell_length_b 2.749
_cell_length_c 4.590
_cell_angle_alpha 85.04
_cell_angle_beta 90.00
_cell_angle_gamma 90.00
loop_
_atom_site_label
_atom_site_type_symbol
_atom_site_fract_x
_atom_site_fract_y
_atom_site_fract_z
Co1 Co 0.000 0.940 0.002
Co2 Co 0.000 0.560 0.498
As1 As 0.500 0.750 0.750
Mn1 Mn 0.500 0.250 0.250
```

Summary:
V   12.6 Å³/atom
Energy   -6.931 eV per atom
Magnetization   5.6 μB/f.u.